# YTaCoSb | OQMD | PBE | relaxed
# Excess energy over the best structure of this formula in the dataset   0.000 eV/f.u.
# DFT total energy   -7.033 eV/atom
# Magnetic moment   0.585 μB/atom
data_YTaCoSb
_space_group_name_H-M_alt 'F -4 3 m'
_space_group_IT_number 216
_space_group_name_Hall 'F -4 2 3'
_cell_length_a 6.7526
_cell_length_b 6.7526
_cell_length_c 6.7526
_cell_angle_alpha 90.00
_cell_angle_beta 90.00
_cell_angle_gamma 90.00
loop_
_atom_site_label
_atom_site_fract_x
_atom_site_fract_y
_atom_site_fract_z
_atom_site_occupancy
Y1 0.0000 0.0000 0.0000 1
Ta1 0.2500 0.2500 0.2500 1
Co1 0.2500 0.2500 0.7500 1
Sb1 0.0000 0.0000 0.5000 1